Compound: Np2CrNiS5
Source: Alexandria
Functional: PBE
Structure: relaxed

Theoretical density, g cm⁻³: 7.71
Spin magnetization, μB per cell: 4.7
ΔE_f (raw), kJ per mole of atoms: -95.1
DOS(E_F), states/eV/atom: 2.0832
SG: No. 36

abc: 8.1870 8.1870 10.9712
angles: 90.00 90.00 154.12
Last column: nearest neighbours and their distance in Å.
Element x y z (fractional)
Np: 0.1080 0.8920 0.5000  8 S 2.73-2.93
Np: 0.1320 0.8680 0.1164  7 S 2.75-2.83
Np: 0.8680 0.1320 0.6164  7 S 2.75-2.83
Np: 0.8920 0.1080 0.0000  8 S 2.73-2.93
Cr: 0.1918 0.8082 0.8225  6 S 2.35-2.55
Cr: 0.8082 0.1918 0.3225  6 S 2.35-2.55
Ni: 0.4306 0.5694 0.2467  4 S 2.17-2.22
Ni: 0.5694 0.4306 0.7467  4 S 2.17-2.22
S: 0.0460 0.9540 0.8550  2 Ni 2.22, 1 Cr 2.35
S: 0.2876 0.7124 0.4616  2 Cr 2.41
S: 0.3057 0.6943 0.1610  1 Ni 2.20
S: 0.3478 0.6522 0.8113  1 Cr 2.49
S: 0.4940 0.5060 0.5816  1 Ni 2.17
S: 0.5060 0.4940 0.0816  1 Ni 2.17
S: 0.6522 0.3478 0.3113  1 Cr 2.49
S: 0.6943 0.3057 0.6610  1 Ni 2.20
S: 0.7124 0.2876 0.9616  2 Cr 2.41
S: 0.9540 0.0460 0.3550  2 Ni 2.22, 1 Cr 2.35